## MnPtCl (PBEsol)

Data for crystalline MnPtCl at its relaxed geometry.

Properties
Its crystal system is orthorhombic. Its energy relative to the elements, uncorrected is -0.0165 eV per atom. As for the density of states at the Fermi level: 0.5204 states/eV/atom.

```
MnPtCl
1.0
0.000 2.380 6.025
1.753 0.000 6.025
1.753 2.380 0.000
Mn Pt Cl
1 1 1
Cartesian
0.000 0.000 0.000
1.753 2.380 7.758
1.753 2.380 4.362
```